[1]
The following is a DFT calculation (PBE) of a relaxed structure of Cu2Ni15Rh2.

CIF file:
```
data_Cu2Ni15Rh2
_chemical_formula_sum 'Cu6 Ni45 Rh6'
_cell_length_a 8.0700
_cell_length_b 8.0700
_cell_length_c 12.0138
_cell_angle_alpha 90.00
_cell_angle_beta 90.00
_cell_angle_gamma 120.00
_space_group_name_H-M_alt 'R -3 m'
_space_group_IT_number 166
_space_group_name_Hall '-R 3 2"'
loop_
_atom_site_label
_atom_site_fract_x
_atom_site_fract_y
_atom_site_fract_z
_atom_site_occupancy
Cu1 0.0000 0.0000 0.1011 1
Ni1 0.0000 0.3083 0.0000 1
Ni2 0.0000 0.5000 0.5000 1
Ni3 0.0079 0.5039 0.1522 1
Rh1 0.0000 0.0000 0.3395 1
```

Summary:
Uncorrected energy (eV/atom): -5.57
Calculated volume (Å³/atom): 11.89
ρ (g cm⁻³): 8.92
DOS at the Fermi energy (states/eV/f.u.): 31.33



[2]
The following is a DFT calculation (PBE) of a relaxed structure of Cu3Ni4Rh.

CIF file:
```
data_Cu3Ni4Rh
_chemical_formula_sum 'Cu6 Ni8 Rh2'
_cell_length_a 4.3974
_cell_length_b 5.1410
_cell_length_c 8.4661
_cell_angle_alpha 90.00
_cell_angle_beta 100.60
_cell_angle_gamma 90.00
_space_group_name_H-M_alt 'P 1 2/c 1'
_space_group_IT_number 13
loop_
_space_group_symop_operation_xyz
'x,y,z'
'-x,-y,-z'
'-x,y,-z+1/2'
'x,-y,z+1/2'
loop_
_atom_site_label
_atom_site_fract_x
_atom_site_fract_y
_atom_site_fract_z
_atom_site_occupancy
Cu1 0.0000 0.1306 0.2500 1
Cu2 0.2452 0.1271 0.9999 1
Ni1 0.0000 0.3835 0.7500 1
Ni2 0.2506 0.3837 0.5007 1
Ni3 0.5000 0.3700 0.2500 1
Rh1 0.5000 0.1359 0.7500 1
```

Summary:
Energy above the lowest structure with this stoichiometry (eV per formula unit): 0.000
Calculated volume (Å³/atom): 11.76
ρ (g cm⁻³): 9.33
DOS at the Fermi energy (states/eV/f.u.): 10.43



[3]
The following is a DFT calculation (PBE) of a relaxed structure of Cu7Ni2Rh2.

CIF file:
```
data_Cu7Ni2Rh2
_chemical_formula_sum 'Cu14 Ni4 Rh4'
_cell_length_a 9.2747
_cell_length_b 4.9006
_cell_length_c 6.9455
_cell_angle_alpha 90.00
_cell_angle_beta 116.81
_cell_angle_gamma 90.00
_space_group_name_H-M_alt 'C 1 2/m 1'
_space_group_IT_number 12
loop_
_space_group_symop_operation_xyz
'x,y,z'
'-x,-y,-z'
'-x,y,-z'
'x,-y,z'
'x+1/2,y+1/2,z'
'-x+1/2,-y+1/2,-z'
'-x+1/2,y+1/2,-z'
'x+1/2,-y+1/2,z'
loop_
_atom_site_label
_atom_site_fract_x
_atom_site_fract_y
_atom_site_fract_z
_atom_site_occupancy
Cu1 0.0000 0.0000 0.0000 1
Cu2 0.2242 0.0000 0.4679 1
Cu3 0.2488 0.2593 0.1733 1
Ni1 0.0000 0.2524 0.5000 1
Rh1 0.0045 0.5000 0.8189 1
```

Summary:
Energy above the lowest structure with this stoichiometry (eV per formula unit): 0.092
Calculated volume (Å³/atom): 12.81
ρ (g cm⁻³): 9.05
DOS at the Fermi energy (states/eV/f.u.): 10.61



[4]
The following is a DFT calculation (PBE) of a relaxed structure of CuNi8Rh6.

CIF file:
```
data_CuNi8Rh6
_chemical_formula_sum 'Cu1 Ni8 Rh6'
_cell_length_a 9.4280
_cell_length_b 9.4280
_cell_length_c 2.6153
_cell_angle_alpha 90.00
_cell_angle_beta 90.00
_cell_angle_gamma 120.00
_space_group_name_H-M_alt 'P -3'
_space_group_IT_number 147
loop_
_space_group_symop_operation_xyz
'x,y,z'
'-x,-y,-z'
'-y,x-y,z'
'y,-x+y,-z'
'-x+y,-x,z'
'x-y,x,-z'
loop_
_atom_site_label
_atom_site_fract_x
_atom_site_fract_y
_atom_site_fract_z
_atom_site_occupancy
Cu1 0.0000 0.0000 0.0000 1
Ni1 0.0713 0.8007 0.2730 1
Ni2 0.3333 0.6667 0.7469 1
Rh1 0.0945 0.4629 0.2455 1
```

Summary:
Energy above the lowest structure with this stoichiometry (eV per formula unit): 2.851
Calculated volume (Å³/atom): 13.42
ρ (g cm⁻³): 9.49
DOS at the Fermi energy (states/eV/f.u.): 27.27



[5]
The following is a DFT calculation (PBE) of a relaxed structure of Cu2NiRh.

CIF file:
```
data_Cu2NiRh
_chemical_formula_sum 'Cu4 Ni2 Rh2'
_cell_length_a 2.6793
_cell_length_b 4.3817
_cell_length_c 8.5887
_cell_angle_alpha 90.00
_cell_angle_beta 90.00
_cell_angle_gamma 90.00
_space_group_name_H-M_alt 'C m m m'
_space_group_IT_number 65
_space_group_name_Hall '-C 2 2'
loop_
_atom_site_label
_atom_site_fract_x
_atom_site_fract_y
_atom_site_fract_z
_atom_site_occupancy
Cu1 0.0000 0.0000 0.2394 1
Ni1 0.0000 0.5000 0.0000 1
Rh1 0.0000 0.5000 0.5000 1
```

Summary:
Energy above the lowest structure with this stoichiometry (eV per formula unit): 0.387
Calculated volume (Å³/atom): 12.60
ρ (g cm⁻³): 9.51
DOS at the Fermi energy (states/eV/f.u.): 5.68



[6]
The following is a DFT calculation (PBE) of a relaxed structure of Cu2NiRh.

CIF file:
```
data_Cu2NiRh
_chemical_formula_sum 'Cu6 Ni3 Rh3'
_cell_length_a 2.6265
_cell_length_b 2.6265
_cell_length_c 25.1018
_cell_angle_alpha 90.00
_cell_angle_beta 90.00
_cell_angle_gamma 120.00
_space_group_name_H-M_alt 'R 3 m'
_space_group_IT_number 160
_space_group_name_Hall 'R 3 -2"'
loop_
_atom_site_label
_atom_site_fract_x
_atom_site_fract_y
_atom_site_fract_z
_atom_site_occupancy
Cu1 0.0000 0.0000 0.0000 1
Cu2 0.0000 0.0000 0.2514 1
Ni1 0.0000 0.0000 0.5043 1
Rh1 0.0000 0.0000 0.7540 1
```

Summary:
Energy above the lowest structure with this stoichiometry (eV per formula unit): 0.097
Calculated volume (Å³/atom): 12.50
ρ (g cm⁻³): 9.59
DOS at the Fermi energy (states/eV/f.u.): 3.45



[7]
The following is a DFT calculation (PBE) of a relaxed structure of Cu3Ni4Rh12.

CIF file:
```
data_Cu3Ni4Rh12
_chemical_formula_sum 'Cu6 Ni8 Rh24'
_cell_length_a 8.9847
_cell_length_b 8.9847
_cell_length_c 8.9847
_cell_angle_alpha 90.00
_cell_angle_beta 90.00
_cell_angle_gamma 90.00
_space_group_name_H-M_alt 'I m -3'
_space_group_IT_number 204
_space_group_name_Hall '-I 2 2 3'
loop_
_atom_site_label
_atom_site_fract_x
_atom_site_fract_y
_atom_site_fract_z
_atom_site_occupancy
Cu1 0.0000 0.0000 0.5000 1
Ni1 0.2500 0.2500 0.2500 1
Rh1 0.0000 0.2650 0.3571 1
```

Summary:
Uncorrected energy (eV/atom): -5.84
Calculated volume (Å³/atom): 19.09
ρ (g cm⁻³): 7.60
DOS at the Fermi energy (states/eV/f.u.): 32.90



[8]
The following is a DFT calculation (PBE) of a relaxed structure of Cu3Ni2Rh4.

CIF file:
```
data_Cu3Ni2Rh4
_chemical_formula_sum 'Cu6 Ni4 Rh8'
_cell_length_a 11.2738
_cell_length_b 3.7369
_cell_length_c 5.8053
_cell_angle_alpha 90.00
_cell_angle_beta 108.61
_cell_angle_gamma 90.00
_space_group_name_H-M_alt 'C 1 2/m 1'
_space_group_IT_number 12
loop_
_space_group_symop_operation_xyz
'x,y,z'
'-x,-y,-z'
'-x,y,-z'
'x,-y,z'
'x+1/2,y+1/2,z'
'-x+1/2,-y+1/2,-z'
'-x+1/2,y+1/2,-z'
'x+1/2,-y+1/2,z'
loop_
_atom_site_label
_atom_site_fract_x
_atom_site_fract_y
_atom_site_fract_z
_atom_site_occupancy
Cu1 0.0000 0.0000 0.0000 1
Cu2 0.1110 0.0000 0.6740 1
Ni1 0.1701 0.5000 0.9974 1
Rh1 0.0525 0.5000 0.3244 1
Rh2 0.2226 0.0000 0.3278 1
```

Summary:
Uncorrected energy (eV/atom): -5.84
Calculated volume (Å³/atom): 12.88
ρ (g cm⁻³): 10.31
DOS at the Fermi energy (states/eV/f.u.): 15.25



[9]
The following is a DFT calculation (PBE) of a relaxed structure of CuNi5Rh2.

CIF file:
```
data_CuNi5Rh2
_chemical_formula_sum 'Cu2 Ni10 Rh4'
_cell_length_a 2.5645
_cell_length_b 7.9770
_cell_length_c 9.6707
_cell_angle_alpha 90.00
_cell_angle_beta 90.00
_cell_angle_gamma 90.00
_space_group_name_H-M_alt 'I m m m'
_space_group_IT_number 71
_space_group_name_Hall '-I 2 2'
loop_
_atom_site_label
_atom_site_fract_x
_atom_site_fract_y
_atom_site_fract_z
_atom_site_occupancy
Cu1 0.0000 0.0000 0.0000 1
Ni1 0.0000 0.2288 0.3754 1
Ni2 0.0000 0.5000 0.0000 1
Rh1 0.0000 0.5000 0.2580 1
```

Summary:
Energy above the lowest structure with this stoichiometry (eV per formula unit): 0.745
Calculated volume (Å³/atom): 12.36
ρ (g cm⁻³): 9.45
DOS at the Fermi energy (states/eV/f.u.): 12.38



[10]
The following is a DFT calculation (PBE) of a relaxed structure of CuNi6Rh2.

CIF file:
```
data_CuNi6Rh2
_chemical_formula_sum 'Cu2 Ni12 Rh4'
_cell_length_a 8.1026
_cell_length_b 3.6123
_cell_length_c 7.7083
_cell_angle_alpha 90.00
_cell_angle_beta 108.48
_cell_angle_gamma 90.00
_space_group_name_H-M_alt 'C 1 2/m 1'
_space_group_IT_number 12
loop_
_space_group_symop_operation_xyz
'x,y,z'
'-x,-y,-z'
'-x,y,-z'
'x,-y,z'
'x+1/2,y+1/2,z'
'-x+1/2,-y+1/2,-z'
'-x+1/2,y+1/2,-z'
'x+1/2,-y+1/2,z'
loop_
_atom_site_label
_atom_site_fract_x
_atom_site_fract_y
_atom_site_fract_z
_atom_site_occupancy
Cu1 0.0000 0.0000 0.0000 1
Ni1 0.0022 0.0000 0.3382 1
Ni2 0.1632 0.5000 0.5544 1
Ni3 0.1649 0.5000 0.8890 1
Rh1 0.1714 0.5000 0.2270 1
```

Summary:
Energy above the lowest structure with this stoichiometry (eV per formula unit): 0.000
Calculated volume (Å³/atom): 11.89
ρ (g cm⁻³): 9.65
DOS at the Fermi energy (states/eV/f.u.): 10.55



ρ of number 8 (Cu3Ni2Rh4)?
10.31 g cm⁻³



The highest calculated volume belongs to which entry?
Cu3Ni4Rh12